Computed, not measured: a relaxed structure of DyZr2UN4 at the GGA-PBE level of DFT.

CIF file:
```
data_DyZr2UN4
_cell_length_a 4.753
_cell_length_b 4.753
_cell_length_c 9.425
_cell_angle_alpha 90.00
_cell_angle_beta 90.00
_cell_angle_gamma 90.00
_space_group_name_H-M_alt 'I -4 m 2'
_space_group_IT_number 119
_space_group_name_Hall 'I -4 -2'
loop_
_atom_site_label
_atom_site_fract_x
_atom_site_fract_y
_atom_site_fract_z
Dy1 0.000 0.000 0.000
Zr1 0.000 0.000 0.500
Zr2 0.000 0.500 0.250
U1 0.000 0.500 0.750
N1 0.000 0.000 0.255
N2 0.000 0.500 0.507
```

Values from the calculation:
Energy relative to the elements, uncorrected in meV/atom: -1627